(1)
! Ce3PuZn (PBE, relaxed); values from VASP
&SYSTEM
  ibrav = 0, nat = 20, ntyp = 3
/
ATOMIC_SPECIES
Ce 140.12 Ce.upf
Pu 244.00 Pu.upf
Zn 65.41 Zn.upf
CELL_PARAMETERS angstrom
6.0541 0.0000 0.0000
0.0000 7.7259 0.0000
0.0000 0.0000 10.0658
ATOMIC_POSITIONS crystal
Ce 0.6309 0.9557 0.2500
Ce 0.8691 0.4557 0.2500
Ce 0.1309 0.5443 0.7500
Ce 0.3691 0.0443 0.7500
Ce 0.6257 0.6818 0.5397
Ce 0.6257 0.6818 0.9603
Ce 0.8743 0.1818 0.5397
Ce 0.8743 0.1818 0.9603
Ce 0.1257 0.8182 0.4603
Ce 0.1257 0.8182 0.0397
Ce 0.3743 0.3182 0.0397
Ce 0.3743 0.3182 0.4603
Pu 0.5000 0.0000 0.0000
Pu 0.5000 0.0000 0.5000
Pu 0.0000 0.5000 0.0000
Pu 0.0000 0.5000 0.5000
Zn 0.8639 0.8989 0.7500
Zn 0.3639 0.6011 0.2500
Zn 0.6361 0.3989 0.7500
Zn 0.1361 0.1011 0.2500
! - Mass density: 10.295 g/cm3
! - DFT formation energy: -0.022 eV/atom
! - Crystal system: orthorhombic


(2)
! Li2PmSm2Bi2 (PBE, relaxed); values from VASP
&SYSTEM
  ibrav = 0, nat = 7, ntyp = 4
/
ATOMIC_SPECIES
Li 6.94 Li.upf
Pm 145.00 Pm.upf
Sm 150.36 Sm.upf
Bi 208.98 Bi.upf
CELL_PARAMETERS angstrom
-1.0225 -4.2103 2.3174
3.4824 -2.2718 2.6180
-1.6910 2.5258 9.0519
ATOMIC_POSITIONS crystal
Li 0.5909 0.5909 0.2272
Li 0.4091 0.4091 0.7728
Pm 0.0000 0.0000 0.0000
Sm 0.1306 0.1306 0.6083
Sm 0.8694 0.8694 0.3917
Bi 0.7352 0.7352 0.7946
Bi 0.2648 0.2648 0.2054
! - Mass density: 7.644 g/cm3
! - DFT formation energy: -0.439 eV/atom
! - Crystal system: trigonal


(3)
! Mg2Sb (PBE, relaxed); values from VASP
&SYSTEM
  ibrav = 0, nat = 6, ntyp = 2
/
ATOMIC_SPECIES
Mg 24.30 Mg.upf
Sb 121.76 Sb.upf
CELL_PARAMETERS angstrom
-2.1660 5.1132 -5.5787
-1.1084 -7.0356 3.3511
-2.8299 1.7201 2.6753
ATOMIC_POSITIONS crystal
Mg 0.9722 0.0278 0.0000
Mg 0.3032 0.6968 0.0000
Mg 0.6411 0.3589 0.0000
Mg 0.4722 0.5278 0.5000
Sb 0.8270 0.1730 0.5000
Sb 0.1175 0.8825 0.5000
! - Formation energy (no corrections): -197 meV/atom
! - Mass density: 3.995 g/cm3
! - Crystal system: orthorhombic


(4)
! EuGdInBi (PBE, relaxed); values from VASP
&SYSTEM
  ibrav = 0, nat = 4, ntyp = 4
/
ATOMIC_SPECIES
Eu 151.96 Eu.upf
Gd 157.25 Gd.upf
Bi 208.98 Bi.upf
In 114.82 In.upf
CELL_PARAMETERS angstrom
5.5570 0.0000 0.0000
2.7785 4.8125 0.0000
2.7785 1.6042 4.5373
ATOMIC_POSITIONS crystal
Eu 0.5000 0.5000 0.5000
Gd 0.0000 0.0000 0.0000
Bi 0.7500 0.7500 0.7500
In 0.2500 0.2500 0.2500
! - Mass density: 8.663 g/cm3
! - DFT formation energy: -0.518 eV/atom
! - Crystal system: cubic


(5)
! MgFePb2Au (PBE, relaxed); values from VASP
&SYSTEM
  ibrav = 0, nat = 5, ntyp = 4
/
ATOMIC_SPECIES
Pb 207.20 Pb.upf
Mg 24.30 Mg.upf
Au 196.97 Au.upf
Fe 55.84 Fe.upf
CELL_PARAMETERS angstrom
4.9916 0.0000 0.0000
0.0000 4.9065 0.0000
0.0000 0.0000 4.9916
ATOMIC_POSITIONS crystal
Pb 0.0000 0.0000 0.5000
Pb 0.5000 0.0000 0.0000
Mg 0.0000 0.5000 0.0000
Au 0.5000 0.5000 0.5000
Fe 0.0000 0.0000 0.0000
! - Mass density: 9.393 g/cm3
! - DFT formation energy: 0.298 eV/atom
! - Crystal system: tetragonal


(6)
! TmThMgAl (PBE, relaxed); values from VASP
&SYSTEM
  ibrav = 0, nat = 4, ntyp = 4
/
ATOMIC_SPECIES
Mg 24.30 Mg.upf
Tm 168.93 Tm.upf
Al 26.98 Al.upf
Th 232.04 Th.upf
CELL_PARAMETERS angstrom
-3.2120 0.8887 -4.0421
0.3822 -2.9112 -4.3387
-3.7549 -3.4601 -1.1719
ATOMIC_POSITIONS crystal
Mg 0.0000 0.0000 0.0000
Tm 0.7500 0.7500 0.7500
Al 0.5000 0.5000 0.5000
Th 0.2500 0.2500 0.2500
! - Mass density: 7.387 g/cm3
! - DFT formation energy: -0.156 eV/atom
! - Crystal system: cubic


(7)
! SmYAlCu (PBE, relaxed); values from VASP
&SYSTEM
  ibrav = 0, nat = 4, ntyp = 4
/
ATOMIC_SPECIES
Y 88.91 Y.upf
Cu 63.55 Cu.upf
Sm 150.36 Sm.upf
Al 26.98 Al.upf
CELL_PARAMETERS angstrom
-1.2556 4.7816 -1.2796
-4.5692 1.8745 1.2985
-0.3524 3.5992 3.6055
ATOMIC_POSITIONS crystal
Y 0.7500 0.7500 0.7500
Cu 0.5000 0.5000 0.5000
Sm 0.2500 0.2500 0.2500
Al 0.0000 0.0000 0.0000
! - Mass density: 5.816 g/cm3
! - DFT formation energy: -0.266 eV/atom
! - Crystal system: cubic


(8)
! TiTlBr6 (PBE, relaxed); values from VASP
&SYSTEM
  ibrav = 0, nat = 8, ntyp = 3
/
ATOMIC_SPECIES
Ti 47.87 Ti.upf
Tl 204.38 Tl.upf
Br 79.90 Br.upf
CELL_PARAMETERS angstrom
-0.2087 -3.0002 6.2495
0.3871 -6.9033 0.5461
6.2791 -2.9210 2.6549
ATOMIC_POSITIONS crystal
Ti 0.0000 0.0000 0.0000
Tl 0.5000 0.5000 0.5000
Br 0.0496 0.3884 0.7707
Br 0.7911 0.0496 0.7708
Br 0.6116 0.2087 0.2292
Br 0.2089 0.9504 0.2292
Br 0.9504 0.6116 0.2293
Br 0.3884 0.7913 0.7708
! - Formation energy (no corrections): -863 meV/atom
! - Mass density: 4.671 g/cm3
! - Crystal system: trigonal


(9)
! Tl2AsPbS4 (PBE, relaxed); values from VASP
&SYSTEM
  ibrav = 0, nat = 16, ntyp = 4
/
ATOMIC_SPECIES
Tl 204.38 Tl.upf
As 74.92 As.upf
Pb 207.20 Pb.upf
S 32.06 S.upf
CELL_PARAMETERS angstrom
8.2617 -0.0198 -0.2444
-0.0256 8.2617 -0.2444
-4.2307 -4.2336 6.0729
ATOMIC_POSITIONS crystal
Tl 0.5000 0.0000 0.0000
Tl 0.5000 0.0000 0.5000
Tl 0.0000 0.0000 0.5000
Tl 0.5000 0.5000 0.0000
As 0.5000 0.5000 0.5000
As 0.0000 0.0000 0.0000
Pb 0.0000 0.5000 0.0000
Pb 0.0000 0.5000 0.5000
S 0.2263 0.7707 0.9985
S 0.7293 0.2737 0.5015
S 0.2707 0.7263 0.4985
S 0.7737 0.2293 0.0015
S 0.7511 0.7489 0.9578
S 0.7511 0.7489 0.5422
S 0.2490 0.2511 0.4578
S 0.2489 0.2510 0.0422
! - Formation energy (no corrections): -226 meV/atom
! - Mass density: 6.846 g/cm3
! - Crystal system: orthorhombic


(10)
! Tb2NdHg8 (PBE, relaxed); values from VASP
&SYSTEM
  ibrav = 0, nat = 11, ntyp = 3
/
ATOMIC_SPECIES
Tb 158.93 Tb.upf
Nd 144.24 Nd.upf
Hg 200.59 Hg.upf
CELL_PARAMETERS angstrom
4.9867 0.0000 0.0000
0.0000 7.2969 0.2083
-2.4934 -2.9098 7.5142
ATOMIC_POSITIONS crystal
Tb 0.7867 0.3468 0.5734
Tb 0.2133 0.6532 0.4266
Nd 0.5000 0.0000 0.0000
Hg 0.4028 0.5380 0.8057
Hg 0.6761 0.9045 0.3522
Hg 0.8495 0.8127 0.6991
Hg 0.9711 0.2719 0.9422
Hg 0.1505 0.1873 0.3009
Hg 0.3239 0.0955 0.6478
Hg 0.5972 0.4620 0.1943
Hg 0.0289 0.7281 0.0578
! - Mass density: 12.415 g/cm3
! - DFT formation energy: -0.334 eV/atom
! - Crystal system: monoclinic


(11)
! Nd6Ge2CBr3 (PBE, relaxed); values from VASP
&SYSTEM
  ibrav = 0, nat = 12, ntyp = 4
/
ATOMIC_SPECIES
Nd 144.24 Nd.upf
Ge 72.64 Ge.upf
C 12.01 C.upf
Br 79.90 Br.upf
CELL_PARAMETERS angstrom
-2.8483 -1.8090 6.3523
5.7365 -3.5461 -2.5010
3.5007 6.6193 2.0958
ATOMIC_POSITIONS crystal
Nd 0.9337 0.6299 0.8009
Nd 0.7634 0.7634 0.2001
Nd 0.0663 0.3701 0.1991
Nd 0.6299 0.9337 0.8009
Nd 0.2366 0.2366 0.7999
Nd 0.3701 0.0663 0.1991
Ge 0.3336 0.6664 0.0000
Ge 0.6664 0.3336 0.0000
C 0.0000 0.0000 0.0000
Br 0.1708 0.8292 0.5000
Br 0.8292 0.1708 0.5000
Br 0.5000 0.5000 0.5000
! - Formation energy (no corrections): -1036 meV/atom
! - Mass density: 6.321 g/cm3
! - Crystal system: monoclinic


(12)
! Rb3Cr2Cl9 (PBE, relaxed); values from VASP
&SYSTEM
  ibrav = 0, nat = 28, ntyp = 3
/
ATOMIC_SPECIES
Rb 85.47 Rb.upf
Cr 52.00 Cr.upf
Cl 35.45 Cl.upf
CELL_PARAMETERS angstrom
7.1623 0.0000 0.0000
-3.5811 6.2027 0.0000
0.0000 0.0000 18.1864
ATOMIC_POSITIONS crystal
Rb 0.0000 0.0000 0.7500
Rb 0.0000 0.0000 0.2500
Rb 0.6667 0.3333 0.9342
Rb 0.3333 0.6667 0.0658
Rb 0.3333 0.6667 0.4342
Rb 0.6667 0.3333 0.5658
Cr 0.6667 0.3333 0.1628
Cr 0.3333 0.6667 0.8372
Cr 0.3333 0.6667 0.6628
Cr 0.6667 0.3333 0.3372
Cl 0.4829 0.9658 0.7500
Cl 0.0342 0.5171 0.7500
Cl 0.4829 0.5171 0.7500
Cl 0.5171 0.0342 0.2500
Cl 0.9658 0.4829 0.2500
Cl 0.5171 0.4829 0.2500
Cl 0.1778 0.3555 0.9057
Cl 0.6445 0.8222 0.9057
Cl 0.1778 0.8222 0.9057
Cl 0.8222 0.6445 0.0943
Cl 0.3555 0.1778 0.0943
Cl 0.8222 0.1778 0.0943
Cl 0.8222 0.6445 0.4057
Cl 0.3555 0.1778 0.4057
Cl 0.8222 0.1778 0.4057
Cl 0.1778 0.3555 0.5943
Cl 0.6445 0.8222 0.5943
Cl 0.1778 0.8222 0.5943
! - Formation energy (no corrections): -1531 meV/atom
! - Mass density: 2.793 g/cm3
! - Crystal system: hexagonal


(13)
! PmUTe2S (PBE, relaxed); values from VASP
&SYSTEM
  ibrav = 0, nat = 10, ntyp = 4
/
ATOMIC_SPECIES
Pm 145.00 Pm.upf
U 238.03 U.upf
Te 127.60 Te.upf
S 32.06 S.upf
CELL_PARAMETERS angstrom
-2.4241 0.3080 -3.7422
1.0097 -4.2368 -1.0028
-12.5057 -4.8039 7.7053
ATOMIC_POSITIONS crystal
Pm 0.5000 0.0000 0.6020
Pm 0.0000 0.5000 0.3980
U 0.5000 0.0000 0.1017
U 0.0000 0.5000 0.8983
Te 0.0000 0.5000 0.7068
Te 0.0000 0.5000 0.1027
Te 0.5000 0.0000 0.8973
Te 0.5000 0.0000 0.2932
S 0.0000 0.0000 0.5000
S 0.5000 0.5000 0.5000
! - Formation energy (no corrections): -1096 meV/atom
! - Mass density: 7.211 g/cm3
! - Crystal system: tetragonal


(14)
! Na2CdGa3Au12 (PBE, relaxed); values from VASP
&SYSTEM
  ibrav = 0, nat = 18, ntyp = 4
/
ATOMIC_SPECIES
Na 22.99 Na.upf
Cd 112.41 Cd.upf
Ga 69.72 Ga.upf
Au 196.97 Au.upf
CELL_PARAMETERS angstrom
-3.9006 -1.7276 5.7025
-4.8235 -3.8126 -3.5938
3.1397 -6.2968 1.1006
ATOMIC_POSITIONS crystal
Na 0.6186 0.6186 0.6186
Na 0.3814 0.3814 0.3814
Cd 0.0000 0.0000 0.0000
Ga 0.5000 0.0000 0.0000
Ga 0.0000 0.5000 0.0000
Ga 0.0000 0.0000 0.5000
Au 0.3802 0.3802 0.9291
Au 0.8056 0.8056 0.3112
Au 0.3112 0.8056 0.8056
Au 0.9291 0.3802 0.3802
Au 0.8056 0.3112 0.8056
Au 0.3802 0.9291 0.3802
Au 0.6198 0.6198 0.0709
Au 0.1944 0.1944 0.6888
Au 0.6888 0.1944 0.1944
Au 0.0709 0.6198 0.6198
Au 0.1944 0.6888 0.1944
Au 0.6198 0.0709 0.6198
! - Mass density: 12.724 g/cm3
! - DFT formation energy: -0.102 eV/atom
! - Crystal system: trigonal


(15)
! ZrCoP2 (PBE, relaxed); values from VASP
&SYSTEM
  ibrav = 0, nat = 4, ntyp = 3
/
ATOMIC_SPECIES
Co 58.93 Co.upf
P 30.97 P.upf
Zr 91.22 Zr.upf
CELL_PARAMETERS angstrom
4.3822 0.0000 0.0000
2.1911 3.7951 0.0000
2.1911 1.2650 3.5781
ATOMIC_POSITIONS crystal
Co 0.5000 0.5000 0.5000
P 0.0000 0.0000 0.0000
P 0.2500 0.2500 0.2500
Zr 0.7500 0.7500 0.7500
! - Mass density: 5.919 g/cm3
! - DFT formation energy: -0.053 eV/atom
! - Crystal system: cubic


(16)
! PuB3Rh6 (PBE, relaxed); values from VASP
&SYSTEM
  ibrav = 0, nat = 10, ntyp = 3
/
ATOMIC_SPECIES
Pu 244.00 Pu.upf
B 10.81 B.upf
Rh 102.91 Rh.upf
CELL_PARAMETERS angstrom
4.8014 0.0002 -2.5729
-3.0903 4.4859 -0.0001
0.1741 0.1201 6.0915
ATOMIC_POSITIONS crystal
Pu 0.9184 0.9592 0.8775
B 0.6531 0.3265 0.9796
B 0.3209 0.6605 0.9814
B 0.2557 0.1279 0.3836
Rh 0.3119 0.4154 0.6895
Rh 0.1559 0.6729 0.2364
Rh 0.7534 0.0805 0.2364
Rh 0.2741 0.8965 0.6895
Rh 0.7930 0.3776 0.6895
Rh 0.5635 0.4830 0.2364
! - Mass density: 11.063 g/cm3
! - DFT formation energy: -0.341 eV/atom
! - Crystal system: trigonal